1.
NaPdF: relaxed, PBE.

a b c (Å): 4.0357 4.0357 7.5966
angles (deg): 90.00 90.00 120.00
Last column: nearest neighbours and their distance in Å.
Fractional positions:
Na 0.0000 0.0000 0.0000  6 F 3.01, 6 Pd 3.01
Na 0.0000 0.0000 0.5000  6 F 3.01, 6 Pd 3.01
Pd 0.3333 0.6667 0.7500  3 F 2.33
Pd 0.6667 0.3333 0.2500  3 F 2.33
F 0.3333 0.6667 0.2500  3 Pd 2.33
F 0.6667 0.3333 0.7500  3 Pd 2.33

Summary:
The calculation puts the uncorrected formation energy at -64 kJ/mol of atoms. As for the crystal system: hexagonal. As for the relative energy among the computed polymorphs: 806 meV per atom.

2.
Dy12Ni6Bi: relaxed, PBE.

a b c (Å): 8.4492 8.4492 8.4492
angles (deg): 109.47 109.47 109.47
Last column: nearest neighbours and their distance in Å.
Fractional positions:
Dy 0.3072 0.1189 0.8117  3 Ni 2.63-2.89
Dy 0.3072 0.4956 0.1883  3 Ni 2.63-2.89
Dy 0.6928 0.5044 0.8117  3 Ni 2.63-2.89
Dy 0.6928 0.8811 0.1883  3 Ni 2.63-2.89
Dy 0.1189 0.8117 0.3072  3 Ni 2.63-2.89
Dy 0.4956 0.1883 0.3072  3 Ni 2.63-2.89
Dy 0.5044 0.8117 0.6928  3 Ni 2.63-2.89
Dy 0.8811 0.1883 0.6928  3 Ni 2.63-2.89
Dy 0.8117 0.3072 0.1189  3 Ni 2.63-2.89
Dy 0.1883 0.3072 0.4956  3 Ni 2.63-2.89
Dy 0.8117 0.6928 0.5044  3 Ni 2.63-2.89
Dy 0.1883 0.6928 0.8811  3 Ni 2.63-2.89
Ni 0.3768 0.5000 0.8768  1 Ni 2.40, 2 Dy 2.63
Ni 0.6232 0.5000 0.1232  1 Ni 2.40, 2 Dy 2.63
Ni 0.5000 0.8768 0.3768  1 Ni 2.40, 2 Dy 2.63
Ni 0.5000 0.1232 0.6232  1 Ni 2.40, 2 Dy 2.63
Ni 0.8768 0.3768 0.5000  1 Ni 2.40, 2 Dy 2.63
Ni 0.1232 0.6232 0.5000  1 Ni 2.40, 2 Dy 2.63
Bi 0.0000 0.0000 0.0000  12 Dy 3.52

Summary:
As for the crystal system: cubic.

3.
ErHfMgIr: relaxed, PBE.

a b c (Å): 4.8497 4.8497 4.8497
angles (deg): 60.00 60.00 60.00
Last column: nearest neighbours and their distance in Å.
Fractional positions:
Mg 0.5000 0.5000 0.5000  4 Er 2.97, 4 Hf 2.97
Ir 0.0000 0.0000 0.0000  4 Hf 2.97, 4 Er 2.97
Hf 0.7500 0.7500 0.7500  4 Mg 2.97, 4 Ir 2.97
Er 0.2500 0.2500 0.2500  4 Mg 2.97, 4 Ir 2.97

Summary:
As for the crystal system: cubic.

Number 1: electronic total energy -20.72 eV per cell. Number 2: electronic total energy -101.42 eV per cell. Number 3: electronic total energy -26.48 eV per cell.